Entry 1:
Density functional theory data (PBE) for crystalline ThZn4Cd at its relaxed geometry. Values from VASP.

energy relative to the elements: -100 meV/atom
symmetry: Pbam, No. 55
density: 8445 kg/m3
calculated volume: 476.7 Å³ per cell

```
&SYSTEM
  ibrav = 0, nat = 24, ntyp = 3
/
ATOMIC_SPECIES
Zn 65.41 Zn.upf
Cd 112.41 Cd.upf
Th 232.04 Th.upf
CELL_PARAMETERS angstrom
-0.3175 0.1563 3.3807
-6.3000 -5.6832 -0.3290
10.9646 -12.2470 1.5960
ATOMIC_POSITIONS crystal
Zn 0.5000 0.0320 0.6960
Zn 0.5000 0.2825 0.3083
Zn 0.5000 0.2175 0.8083
Zn 0.5000 0.1218 0.9618
Zn 0.5000 0.7825 0.1917
Zn 0.5000 0.6378 0.9469
Zn 0.5000 0.3782 0.4618
Zn 0.5000 0.3622 0.0531
Zn 0.5000 0.6218 0.5382
Zn 0.5000 0.9680 0.3040
Zn 0.5000 0.1378 0.5531
Zn 0.5000 0.8782 0.0382
Zn 0.5000 0.8622 0.4469
Zn 0.5000 0.7175 0.6917
Zn 0.5000 0.4680 0.1960
Zn 0.5000 0.5320 0.8040
Cd 0.0000 0.1243 0.4160
Cd 0.0000 0.3757 0.9160
Cd 0.0000 0.6243 0.0840
Cd 0.0000 0.8757 0.5840
Th 0.0000 0.1173 0.1546
Th 0.0000 0.6173 0.3454
Th 0.0000 0.3827 0.6546
Th 0.0000 0.8827 0.8454
```



Entry 2:
Density functional theory data (PBE) for crystalline Th2ZnCd3 at its relaxed geometry. Values from VASP.

energy relative to the elements: -183 meV/atom
energy relative to the lowest polymorph listed for this composition: 0 meV/atom
symmetry: Pmm2, No. 25
density: 9742 kg/m3
calculated volume: 147.7 Å³ per cell

```
&SYSTEM
  ibrav = 0, nat = 6, ntyp = 3
/
ATOMIC_SPECIES
Cd 112.41 Cd.upf
Th 232.04 Th.upf
Zn 65.41 Zn.upf
CELL_PARAMETERS angstrom
3.3809 0.0000 0.0000
0.0000 5.0117 0.0000
0.0000 0.0000 8.7190
ATOMIC_POSITIONS crystal
Cd 0.5000 0.5000 0.6630
Cd 0.5000 0.0000 0.8309
Cd 0.5000 0.0000 0.1687
Th 0.0000 0.0000 0.4887
Th 0.0000 0.5000 0.0128
Zn 0.5000 0.5000 0.3359
```



Entry 3:
Density functional theory data (PBE) for crystalline ThZn2Cd4 at its relaxed geometry. Values from VASP.

energy relative to the elements: -152 meV/atom
symmetry: Cmmm, No. 65
density: 8906 kg/m3
calculated volume: 151.5 Å³ per cell

```
&SYSTEM
  ibrav = 0, nat = 7, ntyp = 3
/
ATOMIC_SPECIES
Cd 112.41 Cd.upf
Zn 65.41 Zn.upf
Th 232.04 Th.upf
CELL_PARAMETERS angstrom
4.3792 0.0000 0.0000
0.0000 4.2179 -1.2527
0.0000 0.1294 8.1630
ATOMIC_POSITIONS crystal
Cd 0.0000 0.6806 0.3613
Cd 0.0000 0.3194 0.6387
Cd 0.5000 0.8228 0.6456
Cd 0.5000 0.1772 0.3544
Zn 0.5000 0.4245 0.8490
Zn 0.5000 0.5755 0.1510
Th 0.0000 0.0000 0.0000
```